Compound: Dy3TmCd2
Source: Alexandria via LeMat-Bulk
Functional: GGA-PBE
Structure: relaxed

a b c (Å): 5.2143 6.8364 9.3782
angles (deg): 90.00 90.00 90.00
Last column: nearest neighbours and their distance in Å.
Sites, in units of the cell vectors:
Cd 0.5000 0.7242 0.8489  6 Dy 3.11-3.25, 1 Tm 3.20
Dy 0.0000 0.9821 0.0430  3 Cd 3.21-3.25, 5 Dy 3.50-3.55
Dy 0.5000 0.1824 0.8212  4 Cd 3.11-3.14, 1 Tm 3.48
Cd 0.0000 0.7761 0.3500  5 Dy 3.06-3.21, 2 Tm 3.25
Dy 0.0000 0.8169 0.6753  4 Cd 3.06-3.15
Tm 0.5000 0.5182 0.5427  3 Cd 3.20-3.25, 3 Dy 3.48-3.54, 2 Tm 3.51
Cd 0.0000 0.2761 0.6500  5 Dy 3.06-3.21, 2 Tm 3.25
Cd 0.5000 0.2242 0.1511  6 Dy 3.11-3.25, 1 Tm 3.20
Dy 0.0000 0.4821 0.9570  3 Cd 3.21-3.25, 5 Dy 3.50-3.55
Dy 0.0000 0.3169 0.3247  4 Cd 3.06-3.15
Dy 0.5000 0.6824 0.1788  4 Cd 3.11-3.14, 1 Tm 3.48
Tm 0.5000 0.0182 0.4573  3 Cd 3.20-3.25, 3 Dy 3.48-3.54, 2 Tm 3.51

Space group: Pmc2_1 (26)
DFT formation energy (eV per atom): -0.213
Raw total energy (eV per atom): -3.564